4
Lattice="0.000 2.974 2.974 2.974 0.000 2.974 2.974 2.974 0.000" Properties=species:S:1:pos:R:3 comment="GGA-PBE TlCr2C, relaxed" m_tot_mub_per_fu=0.000 ef_ev_per_atom=1.774 pbc="T T T"
Tl 0.000 0.000 0.000
Cr 1.487 1.487 1.487
Cr 4.461 4.461 4.461
C 2.974 2.974 2.974

5
Lattice="4.259 0.000 0.000 0.000 4.259 0.000 0.000 0.000 4.259" Properties=species:S:1:pos:R:3 comment="GGA-PBE TlCrC3, relaxed" m_tot_mub_per_fu=0.001 ef_ev_per_atom=3.941 de_polymorph_ev_per_atom=2.164 pbc="T T T"
Tl 0.000 0.000 0.000
Cr 2.129 2.129 2.129
C 0.000 0.000 2.129
C 0.000 2.129 0.000
C 2.129 0.000 0.000

5
Lattice="3.966 0.000 0.000 0.000 3.966 0.000 0.000 0.000 3.966" Properties=species:S:1:pos:R:3 comment="GGA-PBE TlCrC3, relaxed" m_tot_mub_per_fu=0.000 ef_ev_per_atom=1.777 de_polymorph_ev_per_atom=0.000 pbc="T T T"
Tl 0.000 0.000 0.000
Cr 1.983 1.983 1.983
C 0.000 1.983 1.983
C 1.983 0.000 1.983
C 1.983 1.983 0.000

4
Lattice="0.000 2.860 2.860 2.860 0.000 2.860 2.860 2.860 0.000" Properties=species:S:1:pos:R:3 comment="GGA-PBE TlCrC2, relaxed" m_tot_mub_per_fu=0.000 ef_ev_per_atom=2.393 de_polymorph_ev_per_atom=1.307 pbc="T T T"
Tl 0.000 0.000 0.000
Cr 2.860 2.860 2.860
C 1.430 1.430 1.430
C 4.290 4.290 4.290

> What is the formula in the second record?

TlCrC3

> What is the formula in the fourth record?

TlCrC2